No. 1
Material: PrSm2DyTm4
Method: DFT, GGA-PBE
State: optimized geometry

a = 9.4829 Å, b = 9.4829 Å, c = 9.4829 Å
α = 138.09°, β = 103.26°, γ = 91.51°
Closest atoms and distances in Å follow each position.
Atoms (fractional coordinates):
Pr 0.0000 0.0000 0.0000  6 Tm 3.31-3.40, 2 Sm 3.39
Pr 0.5000 0.0000 0.5000  6 Tm 3.31-3.40, 2 Sm 3.39
Sm 0.0000 0.5000 0.5000  6 Tm 3.31-3.39, 2 Pr 3.39
Sm 0.5000 0.0000 0.0000  6 Tm 3.34-3.42, 2 Sm 3.39
Sm 0.5000 0.5000 0.0000  6 Tm 3.31-3.39, 2 Pr 3.39
Sm 0.5000 0.5000 0.5000  6 Tm 3.34-3.42, 2 Sm 3.39
Dy 0.0000 0.0000 0.5000  6 Tm 3.28-3.37, 2 Dy 3.39
Dy 0.0000 0.5000 0.0000  6 Tm 3.28-3.37, 2 Dy 3.39
Tm 0.2478 0.2484 0.5006  1 Dy 3.28, 3 Sm 3.34-3.39, 2 Tm 3.38-3.40, 2 Pr 3.40
Tm 0.2481 0.2502 0.9979  3 Sm 3.31-3.42, 1 Pr 3.31, 2 Dy 3.37, 2 Tm 3.39
Tm 0.2478 0.7472 0.9994  1 Dy 3.28, 3 Sm 3.34-3.39, 2 Tm 3.38-3.40, 2 Pr 3.40
Tm 0.2476 0.7498 0.4979  3 Sm 3.31-3.42, 1 Pr 3.31, 2 Dy 3.37, 2 Tm 3.39
Tm 0.7524 0.2502 0.5021  3 Sm 3.31-3.42, 1 Pr 3.31, 2 Dy 3.37, 2 Tm 3.39
Tm 0.7522 0.2528 0.0006  1 Dy 3.28, 3 Sm 3.34-3.39, 2 Tm 3.38-3.40, 2 Pr 3.40
Tm 0.7519 0.7498 0.0021  3 Sm 3.31-3.42, 1 Pr 3.31, 2 Dy 3.37, 2 Tm 3.39
Tm 0.7522 0.7516 0.4994  1 Dy 3.28, 3 Sm 3.34-3.39, 2 Tm 3.38-3.40, 2 Pr 3.40

Output
- total magnetic moment (μB per atom) = 0.296
- raw total energy (Ha/atom) = -0.1529
- crystal system = orthorhombic

=====

No. 2
Material: Pr2SmDy5Y
Method: DFT, GGA-PBE
State: optimized geometry

a = 9.9995 Å, b = 9.9995 Å, c = 9.9995 Å
α = 128.41°, β = 128.41°, γ = 75.97°
Closest atoms and distances in Å follow each position.
Atoms (fractional coordinates):
Pr 0.1182 0.6182 0.7363  1 Pr 2.91, 2 Dy 3.03
Pr 0.3818 0.1182 0.5000  1 Pr 2.91, 2 Dy 3.03
Pr 0.6182 0.8818 0.5000  1 Pr 2.91, 2 Dy 3.03
Pr 0.8818 0.3818 0.2637  1 Pr 2.91, 2 Dy 3.03
Sm 0.2500 0.2500 0.0000  10 Dy 3.56-3.94
Sm 0.7500 0.7500 0.0000  10 Dy 3.56-3.94
Dy 0.0000 0.0000 0.0000  4 Pr 3.48, 8 Dy 3.81
Dy 0.0729 0.1475 0.5000  1 Pr 3.03, 1 Y 3.14
Dy 0.1475 0.6475 0.0746  1 Pr 3.03, 1 Y 3.14
Dy 0.3525 0.4271 0.5000  1 Pr 3.03, 1 Y 3.14
Dy 0.4271 0.9271 0.0746  1 Pr 3.03, 1 Y 3.14
Dy 0.5000 0.5000 0.0000  4 Pr 3.48, 8 Dy 3.81
Dy 0.5729 0.0729 0.9254  1 Pr 3.03, 1 Y 3.14
Dy 0.6475 0.5729 0.5000  1 Pr 3.03, 1 Y 3.14
Dy 0.8525 0.3525 0.9254  1 Pr 3.03, 1 Y 3.14
Dy 0.9271 0.8525 0.5000  1 Pr 3.03, 1 Y 3.14
Y 0.2500 0.7500 0.5000  4 Dy 3.14
Y 0.7500 0.2500 0.5000  4 Dy 3.14

Output
- total magnetic moment (μB per atom) = 0.000
- raw total energy (Ha/atom) = -0.1690
- crystal system = tetragonal

=====

No. 3
Material: PrSmDyY
Method: DFT, GGA-PBE
State: optimized geometry

a = 6.2503 Å, b = 6.2503 Å, c = 6.2503 Å
α = 131.59°, β = 131.59°, γ = 70.88°
Closest atoms and distances in Å follow each position.
Atoms (fractional coordinates):
Pr 0.0000 0.0000 0.0000  4 Dy 3.61, 4 Sm 3.61, 4 Y 3.62
Sm 0.7500 0.2500 0.5000  4 Pr 3.61, 4 Y 3.61, 4 Dy 3.62
Dy 0.2500 0.7500 0.5000  4 Pr 3.61, 4 Y 3.61, 4 Sm 3.62
Y 0.5000 0.5000 0.0000  4 Dy 3.61, 4 Sm 3.61, 4 Pr 3.62

Output
- total magnetic moment (μB per atom) = 0.000
- raw total energy (Ha/atom) = -0.1882
- crystal system = tetragonal
- energy above the most stable polymorph in this dataset (eV per formula unit) = 0.00

=====

No. 4
Material: Pr4Sm2DyY2
Method: DFT, GGA-PBE
State: optimized geometry

a = 8.1706 Å, b = 8.1706 Å, c = 8.1288 Å
α = 107.56°, β = 107.56°, γ = 36.86°
Closest atoms and distances in Å follow each position.
Atoms (fractional coordinates):
Pr 0.0544 0.0544 0.3312  2 Y 3.62-3.64, 2 Dy 3.63, 4 Sm 3.64-3.67, 4 Pr 3.65-3.67
Pr 0.2777 0.2777 0.6679  3 Y 3.63-3.64, 1 Dy 3.64, 3 Sm 3.66-3.67, 5 Pr 3.66-3.67
Pr 0.7223 0.7223 0.3321  3 Y 3.63-3.64, 1 Dy 3.64, 3 Sm 3.66-3.67, 5 Pr 3.66-3.67
Pr 0.9456 0.9456 0.6688  2 Y 3.62-3.64, 2 Dy 3.63, 4 Sm 3.64-3.67, 4 Pr 3.65-3.67
Sm 0.3890 0.3890 0.3310  1 Dy 3.63, 3 Y 3.63-3.64, 7 Pr 3.64-3.67, 1 Sm 3.66
Sm 0.6110 0.6110 0.6690  1 Dy 3.63, 3 Y 3.63-3.64, 7 Pr 3.64-3.67, 1 Sm 3.66
Dy 0.5000 0.5000 0.0000  2 Sm 3.63, 6 Pr 3.63-3.64, 4 Y 3.65
Y 0.1666 0.1666 0.9998  5 Pr 3.62-3.64, 3 Sm 3.63-3.64, 2 Dy 3.65, 2 Y 3.65
Y 0.8334 0.8334 0.0002  5 Pr 3.62-3.64, 3 Sm 3.63-3.64, 2 Dy 3.65, 2 Y 3.65

Output
- total magnetic moment (μB per atom) = 0.000
- raw total energy (Ha/atom) = -0.1875
- crystal system = monoclinic

=====

No. 5
Material: Pr2Sm3Dy6Y
Method: DFT, GGA-PBE
State: optimized geometry

a = 6.2328 Å, b = 6.2328 Å, c = 11.8835 Å
α = 95.00°, β = 95.00°, γ = 119.98°
Closest atoms and distances in Å follow each position.
Atoms (fractional coordinates):
Pr 0.1665 0.8335 0.0000  3 Pr 3.59-3.60, 6 Dy 3.60, 3 Y 3.60
Pr 0.8335 0.1665 0.0000  3 Pr 3.59-3.60, 6 Dy 3.60, 3 Y 3.60
Sm 0.0000 0.0000 0.5000  6 Dy 3.58, 6 Sm 3.60
Sm 0.3333 0.6667 0.5000  6 Dy 3.57-3.58, 6 Sm 3.60
Sm 0.6667 0.3333 0.5000  6 Dy 3.57-3.58, 6 Sm 3.60
Dy 0.0827 0.4158 0.7488  3 Sm 3.58, 6 Dy 3.60, 2 Pr 3.60, 1 Y 3.60
Dy 0.2513 0.2513 0.2515  3 Sm 3.57-3.58, 6 Dy 3.60, 1 Y 3.60, 2 Pr 3.60
Dy 0.4158 0.0827 0.7488  3 Sm 3.58, 6 Dy 3.60, 2 Pr 3.60, 1 Y 3.60
Dy 0.5842 0.9173 0.2512  3 Sm 3.58, 6 Dy 3.60, 2 Pr 3.60, 1 Y 3.60
Dy 0.7487 0.7487 0.7485  3 Sm 3.57-3.58, 6 Dy 3.60, 1 Y 3.60, 2 Pr 3.60
Dy 0.9173 0.5842 0.2512  3 Sm 3.58, 6 Dy 3.60, 2 Pr 3.60, 1 Y 3.60
Y 0.5000 0.5000 0.0000  6 Pr 3.60, 6 Dy 3.60

Output
- total magnetic moment (μB per atom) = 0.000
- raw total energy (Ha/atom) = -0.1765
- crystal system = monoclinic

=====

No. 6
Material: Pr6Sm3DyY2
Method: DFT, GGA-PBE
State: optimized geometry

a = 6.3532 Å, b = 6.3532 Å, c = 12.0188 Å
α = 95.04°, β = 95.04°, γ = 120.02°
Closest atoms and distances in Å follow each position.
Atoms (fractional coordinates):
Pr 0.0831 0.4157 0.7481  1 Dy 3.62, 2 Y 3.62, 3 Sm 3.65-3.66, 6 Pr 3.66-3.67
Pr 0.2495 0.2495 0.2518  1 Dy 3.62, 2 Y 3.62, 3 Sm 3.65-3.66, 6 Pr 3.66-3.67
Pr 0.4157 0.0831 0.7481  1 Dy 3.62, 2 Y 3.62, 3 Sm 3.65-3.66, 6 Pr 3.66-3.67
Pr 0.5843 0.9169 0.2519  1 Dy 3.62, 2 Y 3.62, 3 Sm 3.65-3.66, 6 Pr 3.66-3.67
Pr 0.7505 0.7505 0.7482  1 Dy 3.62, 2 Y 3.62, 3 Sm 3.65-3.66, 6 Pr 3.66-3.67
Pr 0.9169 0.5843 0.2519  1 Dy 3.62, 2 Y 3.62, 3 Sm 3.65-3.66, 6 Pr 3.66-3.67
Sm 0.1667 0.8333 0.0000  6 Pr 3.65-3.66, 6 Sm 3.67
Sm 0.5000 0.5000 0.0000  6 Pr 3.65-3.66, 6 Sm 3.67
Sm 0.8333 0.1667 0.0000  6 Pr 3.65-3.66, 6 Sm 3.67
Dy 0.0000 0.0000 0.5000  6 Pr 3.62, 6 Y 3.67
Y 0.3334 0.6666 0.5000  6 Pr 3.62, 3 Dy 3.67, 3 Y 3.67
Y 0.6666 0.3334 0.5000  6 Pr 3.62, 3 Dy 3.67, 3 Y 3.67

Output
- total magnetic moment (μB per atom) = 0.000
- raw total energy (Ha/atom) = -0.1845
- crystal system = monoclinic

=====

For the records above, the corresponding calculated formation energy values read 0.427 0.264 0.019 0.019 0.014 0.010 eV/atom.